Compound: Li2VO2F
Source: the Alexandria database
Functional: GGA+U
Structure: relaxed

Unit cell a=3.031 b=6.007 c=6.456 alpha=103.01 beta=103.53 gamma=90.16
Site moments in Bohr magnetons follow the coordinates.
Element x y z (fractional)
1 Li 0.345 0.663 0.684  0.00
2 F 0.152 0.595 0.337  0.01
3 O 0.534 0.767 0.016  -0.01
4 Li 0.332 0.178 0.671  0.00
5 O 0.488 0.236 0.000  0.00
6 Li 0.672 0.321 0.330  0.00
7 O 0.172 0.071 0.329  -0.01
8 Li 0.984 0.481 0.985  0.00
9 V 0.660 0.853 0.345  1.95
10 O 0.830 0.910 0.662  -0.04
11 V 0.004 0.005 0.984  1.88
12 F 0.828 0.419 0.657  0.00

The polymorph energy (0 for the lowest one) is 63 meV per atom. The calculation puts the size of the total moment at 0.33 μB per atom.